(1)
Nd3Ag11 | GGA-PBE | optimized geometry

V = 620 Å³ per cell
Calculated density = 8.7 g/cm3
M_tot = 0.000 μB per atom
E_form = -0.168 eV/atom
Total DFT energy (no corrections) = -3.43 eV per atom

Geometry as CIF:
```
data_Nd3Ag11
_space_group_name_H-M_alt 'I m m m'
_space_group_IT_number 71
_space_group_name_Hall '-I 2 2'
_cell_length_a 4.7072
_cell_length_b 9.6823
_cell_length_c 13.5962
_cell_angle_alpha 90.00
_cell_angle_beta 90.00
_cell_angle_gamma 90.00
loop_
_atom_site_label
_atom_site_type_symbol
_atom_site_fract_x
_atom_site_fract_y
_atom_site_fract_z
_atom_site_occupancy
Nd1 Nd 0.0000 0.0000 0.0000 1
Nd2 Nd 0.0000 0.0000 0.3008 1
Ag1 Ag 0.0000 0.1913 0.5000 1
Ag2 Ag 0.0000 0.2794 0.1271 1
Ag3 Ag 0.0000 0.3593 0.3292 1
Ag4 Ag 0.0000 0.5000 0.0000 1
```

---

(2)
NdAg3 | GGA-PBE | optimized geometry

V = 359 Å³ per cell
Calculated density = 8.7 g/cm3
M_tot = 0.000 μB per atom
E_form = -0.217 eV/atom
Total DFT energy (no corrections) = -3.55 eV per atom

Geometry as CIF:
```
data_NdAg3
_space_group_name_H-M_alt 'C m c m'
_space_group_IT_number 63
_space_group_name_Hall '-C 2c 2'
_cell_length_a 4.4839
_cell_length_b 10.5186
_cell_length_c 7.6081
_cell_angle_alpha 90.00
_cell_angle_beta 90.00
_cell_angle_gamma 90.00
loop_
_atom_site_label
_atom_site_type_symbol
_atom_site_fract_x
_atom_site_fract_y
_atom_site_fract_z
_atom_site_occupancy
Nd1 Nd 0.0000 0.0748 0.2500 1
Ag1 Ag 0.0000 0.2172 0.7500 1
Ag2 Ag 0.0000 0.3712 0.0573 1
```

---

(3)
Nd5Ag3 | GGA-PBE | optimized geometry

V = 232 Å³ per cell
Calculated density = 7.5 g/cm3
M_tot = 0.000 μB per atom
E_form = -0.177 eV/atom
Total DFT energy (no corrections) = -4.23 eV per atom

Geometry as CIF:
```
data_Nd5Ag3
_space_group_name_H-M_alt 'P 4/m m m'
_space_group_IT_number 123
_space_group_name_Hall '-P 4 2'
_cell_length_a 3.7256
_cell_length_b 3.7256
_cell_length_c 16.6861
_cell_angle_alpha 90.00
_cell_angle_beta 90.00
_cell_angle_gamma 90.00
loop_
_atom_site_label
_atom_site_type_symbol
_atom_site_fract_x
_atom_site_fract_y
_atom_site_fract_z
_atom_site_occupancy
Nd1 Nd 0.0000 0.0000 0.0000 1
Nd2 Nd 0.0000 0.0000 0.2274 1
Nd3 Nd 0.5000 0.5000 0.3852 1
Ag1 Ag 0.0000 0.0000 0.5000 1
Ag2 Ag 0.5000 0.5000 0.1139 1
```

---

(4)
NdAg | GGA-PBE | optimized geometry

V = 53 Å³ per cell
Calculated density = 7.9 g/cm3
M_tot = 0.000 μB per atom
E_form = -0.258 eV/atom
Total DFT energy (no corrections) = -4.07 eV per atom

Geometry as CIF:
```
data_NdAg
_space_group_name_H-M_alt 'P m -3 m'
_space_group_IT_number 221
_space_group_name_Hall '-P 4 2 3'
_cell_length_a 3.7570
_cell_length_b 3.7570
_cell_length_c 3.7570
_cell_angle_alpha 90.00
_cell_angle_beta 90.00
_cell_angle_gamma 90.00
loop_
_atom_site_label
_atom_site_type_symbol
_atom_site_fract_x
_atom_site_fract_y
_atom_site_fract_z
_atom_site_occupancy
Nd1 Nd 0.0000 0.0000 0.0000 1
Ag1 Ag 0.5000 0.5000 0.5000 1
```

---

(5)
Nd2Ag5 | GGA-PBE | optimized geometry

V = 644 Å³ per cell
Calculated density = 8.5 g/cm3
M_tot = 0.000 μB per atom
E_form = -0.206 eV/atom
Total DFT energy (no corrections) = -3.60 eV per atom

Geometry as CIF:
```
data_Nd2Ag5
_space_group_name_H-M_alt 'I b a m'
_space_group_IT_number 72
_space_group_name_Hall '-I 2 2c'
_cell_length_a 7.8169
_cell_length_b 13.2855
_cell_length_c 6.2005
_cell_angle_alpha 90.00
_cell_angle_beta 90.00
_cell_angle_gamma 90.00
loop_
_atom_site_label
_atom_site_type_symbol
_atom_site_fract_x
_atom_site_fract_y
_atom_site_fract_z
_atom_site_occupancy
Nd1 Nd 0.1849 0.1031 0.0000 1
Ag1 Ag 0.0000 0.2818 0.2500 1
Ag2 Ag 0.0000 0.5000 0.2500 1
Ag3 Ag 0.2217 0.1381 0.5000 1
```

---

(6)
Nd3Ag2 | GGA-PBE | optimized geometry

V = 860 Å³ per cell
Calculated density = 7.5 g/cm3
M_tot = 0.000 μB per atom
E_form = -0.121 eV/atom
Distance to the lowest polymorph of the same formula = 83.1 meV/atom
Total DFT energy (no corrections) = -4.12 eV per atom

Geometry as CIF:
```
data_Nd3Ag2
_space_group_name_H-M_alt 'C 1 2/m 1'
_space_group_IT_number 12
_space_group_name_Hall '-C 2y'
_cell_length_a 16.0139
_cell_length_b 5.2004
_cell_length_c 10.3449
_cell_angle_alpha 90.00
_cell_angle_beta 92.98
_cell_angle_gamma 90.00
loop_
_atom_site_label
_atom_site_type_symbol
_atom_site_fract_x
_atom_site_fract_y
_atom_site_fract_z
_atom_site_occupancy
Nd1 Nd 0.0000 0.0000 0.0000 1
Nd2 Nd 0.0108 0.0000 0.3297 1
Nd3 Nd 0.1089 0.5000 0.5602 1
Nd4 Nd 0.1518 0.5000 0.9356 1
Nd5 Nd 0.2469 0.0000 0.7318 1
Ag1 Ag 0.0501 0.5000 0.1875 1
Ag2 Ag 0.1677 0.0000 0.1478 1
Ag3 Ag 0.1980 0.0000 0.4426 1
```

---

(7)
NdAg | GGA-PBE | optimized geometry

V = 241 Å³ per cell
Calculated density = 6.9 g/cm3
M_tot = 0.001 μB per atom
E_form = -0.015 eV/atom
Total DFT energy (no corrections) = -3.82 eV per atom

Geometry as CIF:
```
data_NdAg
_space_group_name_H-M_alt 'F m -3 m'
_space_group_IT_number 225
_space_group_name_Hall '-F 4 2 3'
_cell_length_a 6.2246
_cell_length_b 6.2246
_cell_length_c 6.2246
_cell_angle_alpha 90.00
_cell_angle_beta 90.00
_cell_angle_gamma 90.00
loop_
_atom_site_label
_atom_site_type_symbol
_atom_site_fract_x
_atom_site_fract_y
_atom_site_fract_z
_atom_site_occupancy
Nd1 Nd 0.0000 0.0000 0.0000 1
Ag1 Ag 0.0000 0.0000 0.5000 1
```

---

(8)
Nd7Ag3 | GGA-PBE | optimized geometry

V = 618 Å³ per cell
Calculated density = 7.2 g/cm3
M_tot = 0.000 μB per atom
E_form = -0.113 eV/atom
Total DFT energy (no corrections) = -4.31 eV per atom

Geometry as CIF:
```
data_Nd7Ag3
_space_group_name_H-M_alt 'P 63 m c'
_space_group_IT_number 186
_space_group_name_Hall 'P 6c -2c'
_cell_length_a 10.4739
_cell_length_b 10.4739
_cell_length_c 6.5086
_cell_angle_alpha 90.00
_cell_angle_beta 90.00
_cell_angle_gamma 120.00
loop_
_atom_site_label
_atom_site_type_symbol
_atom_site_fract_x
_atom_site_fract_y
_atom_site_fract_z
_atom_site_occupancy
Nd1 Nd 0.0681 0.5341 0.0000 1
Nd2 Nd 0.1262 0.2524 0.2762 1
Nd3 Nd 0.3333 0.6667 0.4378 1
Ag1 Ag 0.1939 0.3879 0.7184 1
```

---

The lowest V belongs to which entry? number 4

---

Copy entry 2 word for word.
NdAg3 | GGA-PBE | optimized geometry

V = 359 Å³ per cell
Calculated density = 8.7 g/cm3
M_tot = 0.000 μB per atom
E_form = -0.217 eV/atom
Total DFT energy (no corrections) = -3.55 eV per atom

Geometry as CIF:
```
data_NdAg3
_space_group_name_H-M_alt 'C m c m'
_space_group_IT_number 63
_space_group_name_Hall '-C 2c 2'
_cell_length_a 4.4839
_cell_length_b 10.5186
_cell_length_c 7.6081
_cell_angle_alpha 90.00
_cell_angle_beta 90.00
_cell_angle_gamma 90.00
loop_
_atom_site_label
_atom_site_type_symbol
_atom_site_fract_x
_atom_site_fract_y
_atom_site_fract_z
_atom_site_occupancy
Nd1 Nd 0.0000 0.0748 0.2500 1
Ag1 Ag 0.0000 0.2172 0.7500 1
Ag2 Ag 0.0000 0.3712 0.0573 1
```

---

M_tot of number 5 (Nd2Ag5)? 0.000 μB per atom